No. 1
A relaxed CuPtPbAu crystal, computed with GGA-PBE. Values from VASP.

Properties
Volume (Å³/cell): 72
Total magnetization (μB per formula unit): 0.00
Symmetry: F-43m

The structure in Quantum ESPRESSO input format:
```
&SYSTEM
  ibrav = 0, nat = 4, ntyp = 4
/
ATOMIC_SPECIES
Au 196.97 Au.upf
Cu 63.55 Cu.upf
Pb 207.20 Pb.upf
Pt 195.08 Pt.upf
CELL_PARAMETERS angstrom
0.000 3.309 3.309
3.309 0.000 3.309
3.309 3.309 0.000
ATOMIC_POSITIONS angstrom
Au 3.309 3.309 3.309
Cu 4.964 4.964 4.964
Pb 0.000 0.000 0.000
Pt 1.655 1.655 1.655
```

No. 2
A relaxed HoErPa crystal, computed with GGA-PBE. Values from VASP.

Properties
Volume (Å³/cell): 101
Total magnetization (μB per formula unit): 2.77
Symmetry: F-43m
Energy of formation from the pure elements (eV per formula unit): 3.25

The structure in Quantum ESPRESSO input format:
```
&SYSTEM
  ibrav = 0, nat = 3, ntyp = 3
/
ATOMIC_SPECIES
Er 167.26 Er.upf
Ho 164.93 Ho.upf
Pa 231.04 Pa.upf
CELL_PARAMETERS angstrom
0.000 3.694 3.694
3.694 0.000 3.694
3.694 3.694 0.000
ATOMIC_POSITIONS angstrom
Er 0.000 0.000 0.000
Ho 1.847 1.847 1.847
Pa 5.541 5.541 5.541
```

no.,energy relative to the lowest polymorph listed for this composition (eV per formula unit)
1,0.00
2,0.00